LiMn4B4O12, optimized geometry, DFT GGA+U; calculated total energy = -158.02 eV for the cell shown; space-group type = P1 (1); ΔE to the lowest computed polymorph = 79 meV per atom; ρ = 3.025 g cm⁻³
1.0
-3.309 4.366 -1.131
-3.048 -5.003 -0.175
0.264 0.902 8.463
O B Li Mn
12 4 1 4
direct
0.810 0.516 0.054 O
0.268 0.422 0.895 O
0.120 0.781 0.612 O
0.456 0.688 0.496 O
0.895 0.096 0.934 O
0.747 0.883 0.195 O
0.697 0.397 0.384 O
0.296 0.986 0.408 O
0.319 0.056 0.964 O
0.012 0.246 0.514 O
0.810 0.822 0.918 O
0.710 0.361 0.658 O
0.295 0.821 0.511 B
0.173 0.197 0.933 B
0.824 0.348 0.526 B
0.784 0.738 0.071 B
0.570 0.311 0.846 Li
0.667 0.193 0.148 Mn
0.367 0.334 0.479 Mn
0.097 0.663 0.837 Mn
0.832 0.838 0.435 Mn